# PrMnCuSe3

An optimized crystal structure of PrMnCuSe3 (PBE, Alexandria).

energy relative to the elements, uncorrected	-0.953	eV per atom
SG	P2_1/m (11)

abc: 3.9791 7.9189 8.7871
angles: 103.28 90.00 90.00
Element x y z (fractional)
1 Se 0.2500 0.7520 0.4780
2 Se 0.2500 0.5684 0.8471
3 Se 0.7500 0.9003 0.1332
4 Se 0.2500 0.0997 0.8668
5 Se 0.7500 0.4316 0.1529
6 Se 0.7500 0.2480 0.5220
7 Cu 0.2500 0.0797 0.5823
8 Cu 0.7500 0.9203 0.4177
9 Pr 0.7500 0.8088 0.7528
10 Pr 0.2500 0.1912 0.2472
11 Mn 0.7500 0.3339 0.8427
12 Mn 0.2500 0.6661 0.1573


# Pr2MnZn3Cu12

An optimized crystal structure of Pr2MnZn3Cu12 (PBE, Alexandria).

energy of formation from the pure elements	0.16	eV per atom
SG	R-3m (166)

abc: 9.6725 9.6725 9.6725
angles: 37.58 37.58 37.58
Element x y z (fractional)
1 Cu 0.6427 0.0710 0.0710
2 Cu 0.4195 0.8063 0.4195
3 Cu 0.4195 0.4195 0.8063
4 Cu 0.8063 0.4195 0.4195
5 Cu 0.5805 0.1937 0.5805
6 Cu 0.0710 0.0710 0.6427
7 Cu 0.3573 0.9290 0.9290
8 Cu 0.9290 0.3573 0.9290
9 Cu 0.0710 0.6427 0.0710
10 Cu 0.9290 0.9290 0.3573
11 Cu 0.1937 0.5805 0.5805
12 Cu 0.5805 0.5805 0.1937
13 Zn 0.0000 0.0000 0.5000
14 Zn 0.0000 0.5000 0.0000
15 Zn 0.5000 0.0000 0.0000
16 Pr 0.6504 0.6504 0.6504
17 Pr 0.3496 0.3496 0.3496
18 Mn 0.0000 0.0000 0.0000


# Mn2CuPt

An optimized crystal structure of Mn2CuPt (PBE, Alexandria).

energy of formation from the pure elements	0.07	eV per atom
SG	R-3m (166)

abc: 8.6920 8.6920 8.6920
angles: 18.40 18.40 18.40
Element x y z (fractional)
1 Pt 0.2500 0.2500 0.2500
2 Mn 0.0028 0.0028 0.0028
3 Mn 0.4972 0.4972 0.4972
4 Cu 0.7500 0.7500 0.7500


# MnCuPt2

An optimized crystal structure of MnCuPt2 (PBE, Alexandria).

energy of formation from the pure elements	-0.12	eV per atom
SG	F-43m (216)

abc: 4.3800 4.3800 4.3800
angles: 60.00 60.00 60.00
Element x y z (fractional)
1 Pt 0.0000 0.0000 0.0000
2 Pt 0.2500 0.2500 0.2500
3 Mn 0.7500 0.7500 0.7500
4 Cu 0.5000 0.5000 0.5000


# MnCuPt2

An optimized crystal structure of MnCuPt2 (PBE, Alexandria).

energy of formation from the pure elements	-0.23	eV per atom
SG	Pm (6)

abc: 3.8496 2.7923 6.0661
angles: 63.04 90.00 90.00
Element x y z (fractional)
1 Cu 0.0000 0.5068 0.4944
2 Mn 0.5000 0.7468 0.7522
3 Pt 0.5000 0.2292 0.2712
4 Pt 0.0000 0.0172 0.9821


# MnCu6Pt2

An optimized crystal structure of MnCu6Pt2 (PBE, Alexandria).

polymorph energy (0 for the lowest one)	0.000	eV/f.u.
energy of formation from the pure elements	-0.14	eV per atom
SG	C2/m (12)

abc: 3.6808 6.0052 5.8959
angles: 107.15 108.19 90.00
Element x y z (fractional)
1 Cu 0.7258 0.8315 0.4515
2 Cu 0.6167 0.1727 0.2334
3 Cu 0.2742 0.1685 0.5485
4 Cu 0.1719 0.5011 0.3437
5 Cu 0.8281 0.4989 0.6563
6 Cu 0.3833 0.8273 0.7666
7 Mn 0.5000 0.5000 0.0000
8 Pt 0.0559 0.8272 0.1117
9 Pt 0.9441 0.1728 0.8883


# MnCuPt2

An optimized crystal structure of MnCuPt2 (PBE, Alexandria).

energy of formation from the pure elements	-0.28	eV per atom
SG	Cmmm (65)

abc: 4.5172 4.5172 2.9002
angles: 90.00 90.00 102.66
Element x y z (fractional)
1 Pt 0.0000 0.0000 0.0000
2 Pt 0.5000 0.5000 0.0000
3 Cu 0.5000 0.0000 0.5000
4 Mn 0.0000 0.5000 0.5000


# MnCu3Pt2

An optimized crystal structure of MnCu3Pt2 (PBE, Alexandria).

energy of formation from the pure elements	-0.19	eV per atom
SG	C2/c (15)

abc: 4.6860 4.6860 8.3854
angles: 100.26 100.26 110.74
Element x y z (fractional)
1 Cu 0.4624 0.2127 0.9250
2 Cu 0.5376 0.7873 0.0750
3 Cu 0.7873 0.5376 0.5750
4 Cu 0.6245 0.3755 0.2500
5 Cu 0.3755 0.6245 0.7500
6 Cu 0.2127 0.4624 0.4250
7 Mn 0.1254 0.8746 0.2500
8 Mn 0.8746 0.1254 0.7500
9 Pt 0.0460 0.2961 0.0931
10 Pt 0.7039 0.9540 0.4069
11 Pt 0.9540 0.7039 0.9069
12 Pt 0.2961 0.0460 0.5931


# Mn2CuPt

An optimized crystal structure of Mn2CuPt (PBE, Alexandria).

energy of formation from the pure elements	-0.26	eV per atom
SG	I-4m2 (119)

abc: 4.6863 4.6863 4.6863
angles: 132.73 132.74 69.07
Element x y z (fractional)
1 Cu 0.2500 0.7500 0.5000
2 Mn 0.7500 0.2500 0.5000
3 Mn 0.0000 0.0000 0.0000
4 Pt 0.5000 0.5000 0.0000


# MnCu23Pt6

An optimized crystal structure of MnCu23Pt6 (PBE, Alexandria).

energy of formation from the pure elements	-0.04	eV per atom
SG	Fm-3m (225)

abc: 8.2487 8.2487 8.2487
angles: 60.00 60.00 60.00
Element x y z (fractional)
1 Pt 0.7449 0.2551 0.2551
2 Pt 0.7449 0.7449 0.2551
3 Pt 0.2551 0.7449 0.2551
4 Pt 0.2551 0.2551 0.7449
5 Pt 0.7449 0.2551 0.7449
6 Pt 0.2551 0.7449 0.7449
7 Cu 0.6388 0.0837 0.6388
8 Cu 0.9163 0.3612 0.3612
9 Cu 0.1301 0.6097 0.1301
10 Cu 0.0000 0.0000 0.0000
11 Cu 0.3903 0.8699 0.8699
12 Cu 0.6388 0.6388 0.0837
13 Cu 0.6097 0.1301 0.1301
14 Cu 0.0000 0.5000 0.5000
15 Cu 0.3612 0.3612 0.3612
16 Cu 0.1301 0.1301 0.6097
17 Cu 0.5000 0.0000 0.0000
18 Cu 0.0837 0.6388 0.6388
19 Cu 0.3612 0.9163 0.3612
20 Cu 0.8699 0.8699 0.8699
21 Cu 0.0000 0.0000 0.5000
22 Cu 0.8699 0.8699 0.3903
23 Cu 0.8699 0.3903 0.8699
24 Cu 0.6388 0.6388 0.6388
25 Cu 0.3612 0.3612 0.9163
26 Cu 0.1301 0.1301 0.1301
27 Cu 0.5000 0.0000 0.5000
28 Cu 0.5000 0.5000 0.0000
29 Cu 0.0000 0.5000 0.0000
30 Mn 0.5000 0.5000 0.5000


# MnCuPt2

An optimized crystal structure of MnCuPt2 (PBE, Alexandria).

energy of formation from the pure elements	0.10	eV per atom
SG	I-42d (122)

abc: 6.8715 6.8715 5.5551
angles: 51.80 51.80 90.00
Element x y z (fractional)
1 Pt 0.6252 0.1250 0.2500
2 Pt 0.8750 0.8752 0.7500
3 Pt 0.1248 0.6250 0.2500
4 Pt 0.3750 0.3748 0.7500
5 Mn 0.5000 0.5000 0.0000
6 Mn 0.2500 0.7500 0.5000
7 Cu 0.7500 0.2500 0.5000
8 Cu 0.0000 0.0000 0.0000


# MnCu2Pt5

An optimized crystal structure of MnCu2Pt5 (PBE, Alexandria).

energy of formation from the pure elements	-0.24	eV per atom
SG	I4/mmm (139)

abc: 3.9389 3.9389 8.0193
angles: 104.22 104.22 90.00
Element x y z (fractional)
1 Pt 0.5000 0.5000 0.0000
2 Pt 0.3703 0.8703 0.7407
3 Pt 0.1297 0.6297 0.2593
4 Pt 0.8703 0.3703 0.7407
5 Pt 0.6297 0.1297 0.2593
6 Cu 0.2506 0.2506 0.5013
7 Cu 0.7494 0.7494 0.4987
8 Mn 0.0000 0.0000 0.0000


Asked for D(E_F) across the records above, the calculation gives 1.8 8.2 2.3 2.1 2.7 3.9 2.1 6.8 1.8 14.2 3.8 8.2 states/eV per cell in order.